# 1
Material: Dy2PaSe5
Method: DFT, PBE-GGA
State: relaxed

Summary:
Relative energy among the computed polymorphs = 0.00 eV per formula unit
N(E_F) = 0.473 states/eV per atom
E_form (uncorrected) = -1.626 eV/atom
DFT total energy = -6.141 eV/atom

Unit cell a=5.6173 b=13.6106 c=13.7878 alpha=90.00 beta=90.00 gamma=90.00
Space group Cmcm (No. 63)
Asymmetric unit:
Dy (0.0000, 0.1466, 0.0544)
Pa (0.0000, 0.2037, 0.7500)
Se (0.0000, 0.0464, 0.6223)
Se (0.0000, 0.2445, 0.2500)
Se (0.0000, 0.3198, 0.5718)

---

# 2
Material: Dy2Pa2Se7
Method: DFT, PBE-GGA
State: relaxed

Summary:
N(E_F) = 0.469 states/eV per atom
E_form (uncorrected) = -1.575 eV/atom
DFT total energy = -6.356 eV/atom

Unit cell a=4.0270 b=14.7430 c=9.0421 alpha=90.00 beta=90.00 gamma=90.00
Space group Imm2 (No. 44)
Asymmetric unit:
Dy (0.0000, 0.0000, 0.0000)
Dy (0.0000, 0.5000, 0.0401)
Pa (0.0000, 0.2604, 0.8106)
Se (0.0000, 0.1413, 0.4991)
Se (0.0000, 0.1824, 0.1081)
Se (0.0000, 0.3893, 0.3204)
Se (0.0000, 0.5000, 0.7275)

---

# 3
Material: DyPa3Se6
Method: DFT, PBE-GGA
State: relaxed

Summary:
N(E_F) = 1.470 states/eV per atom
E_form (uncorrected) = -1.323 eV/atom
DFT total energy = -6.722 eV/atom

Unit cell a=6.9449 b=7.8009 c=11.7207 alpha=90.00 beta=125.57 gamma=90.00
Space group P2_1/c (No. 14)
Asymmetric unit:
Dy (0.0000, 0.0000, 0.0000)
Pa (0.2962, 0.1257, 0.7501)
Pa (0.5000, 0.0000, 0.5000)
Se (0.0482, 0.0804, 0.2507)
Se (0.2230, 0.6752, 0.0691)
Se (0.4134, 0.1711, 0.0691)

---

# 4
Material: Dy3PaSe4
Method: DFT, PBE-GGA
State: relaxed

Summary:
N(E_F) = 0.884 states/eV per atom
E_form (uncorrected) = -1.608 eV/atom
DFT total energy = -6.263 eV/atom

Unit cell a=4.0101 b=4.0101 c=41.1442 alpha=90.00 beta=90.00 gamma=120.00
Space group R-3m (No. 166, hexagonal axes)
Asymmetric unit:
Dy (0.0000, 0.0000, 0.0000)
Dy (0.0000, 0.0000, 0.2496)
Pa (0.0000, 0.0000, 0.5000)
Se (0.0000, 0.0000, 0.1237)
Se (0.0000, 0.0000, 0.3748)

---

# 5
Material: DyPaSe2
Method: DFT, PBE-GGA
State: relaxed

Summary:
Relative energy among the computed polymorphs = 0.00 eV per formula unit
N(E_F) = 1.095 states/eV per atom
E_form (uncorrected) = -1.476 eV/atom
DFT total energy = -6.743 eV/atom

Unit cell a=4.0024 b=4.0024 c=20.5985 alpha=90.00 beta=90.00 gamma=120.00
Space group P-3m1 (No. 164)
Asymmetric unit:
Dy (0.0000, 0.0000, 0.0000)
Dy (0.3333, 0.6667, 0.1671)
Pa (0.0000, 0.0000, 0.5000)
Pa (0.3333, 0.6667, 0.6661)
Se (0.0000, 0.0000, 0.2479)
Se (0.3333, 0.6667, 0.4171)
Se (0.3333, 0.6667, 0.9172)

---

# 6
Material: Dy6PaSe8
Method: DFT, PBE-GGA
State: relaxed

Summary:
N(E_F) = 0.836 states/eV per atom
E_form (uncorrected) = -1.708 eV/atom
DFT total energy = -6.040 eV/atom

Unit cell a=11.4858 b=11.4858 c=11.4858 alpha=90.00 beta=90.00 gamma=90.00
Space group Fm-3m (No. 225)
Asymmetric unit:
Dy (0.0000, 0.2500, 0.2500)
Pa (0.0000, 0.0000, 0.0000)
Se (0.0000, 0.0000, 0.2563)
Se (0.2500, 0.2500, 0.2500)

---

# 7
Material: DyPaSe3
Method: DFT, PBE-GGA
State: relaxed

Summary:
Relative energy among the computed polymorphs = 0.49 eV per formula unit
N(E_F) = 1.190 states/eV per atom
E_form (uncorrected) = -1.492 eV/atom
DFT total energy = -6.403 eV/atom

Unit cell a=4.0926 b=4.0926 c=20.7453 alpha=90.00 beta=90.00 gamma=120.00
Space group P6_3mc (No. 186)
Asymmetric unit:
Dy (0.0000, 0.0000, 0.0000)
Pa (0.3333, 0.6667, 0.3231)
Se (0.0000, 0.0000, 0.2467)
Se (0.3333, 0.6667, 0.5690)
Se (0.3333, 0.6667, 0.9106)

---

# 8
Material: DyPa6Se8
Method: DFT, PBE-GGA
State: relaxed

Summary:
N(E_F) = 1.455 states/eV per atom
E_form (uncorrected) = -1.352 eV/atom
DFT total energy = -7.315 eV/atom

Unit cell a=11.4441 b=11.4441 c=11.4441 alpha=90.00 beta=90.00 gamma=90.00
Space group Fm-3m (No. 225)
Asymmetric unit:
Dy (0.0000, 0.0000, 0.0000)
Pa (0.0000, 0.2500, 0.2500)
Se (0.0000, 0.0000, 0.2572)
Se (0.2500, 0.2500, 0.2500)

---

# 9
Material: Dy2PaSe
Method: DFT, PBE-GGA
State: relaxed

Summary:
N(E_F) = 1.311 states/eV per atom
E_form (uncorrected) = -0.307 eV/atom
DFT total energy = -5.853 eV/atom

Unit cell a=3.4991 b=3.4991 c=31.1945 alpha=90.00 beta=90.00 gamma=120.00
Space group R-3m (No. 166, hexagonal axes)
Asymmetric unit:
Dy (0.0000, 0.0000, 0.1038)
Pa (0.0000, 0.0000, 0.0000)
Se (0.0000, 0.0000, 0.5000)

---

# 10
Material: DyPaSe
Method: DFT, PBE-GGA
State: relaxed

Summary:
N(E_F) = 1.705 states/eV per atom
E_form (uncorrected) = -0.736 eV/atom
DFT total energy = -6.597 eV/atom

Unit cell a=3.5780 b=3.5780 c=13.9310 alpha=90.00 beta=90.00 gamma=120.00
Space group P-6m2 (No. 187)
Asymmetric unit:
Dy (0.0000, 0.0000, 0.2017)
Pa (0.0000, 0.0000, 0.5000)
Pa (0.3333, 0.6667, 0.0000)
Se (0.3333, 0.6667, 0.3498)

---

# 11
Material: DyPaSe2
Method: DFT, PBE-GGA
State: relaxed

Summary:
Relative energy among the computed polymorphs = 0.30 eV per formula unit
N(E_F) = 1.212 states/eV per atom
E_form (uncorrected) = -1.401 eV/atom
DFT total energy = -6.668 eV/atom

Unit cell a=3.7859 b=3.7859 c=23.0370 alpha=90.00 beta=90.00 gamma=120.00
Space group R3m (No. 160, hexagonal axes)
Asymmetric unit:
Dy (0.0000, 0.0000, 0.0000)
Pa (0.0000, 0.0000, 0.1704)
Se (0.0000, 0.0000, 0.5871)
Se (0.0000, 0.0000, 0.7504)

---

# 12
Material: Dy2PaSe5
Method: DFT, PBE-GGA
State: relaxed

Summary:
Relative energy among the computed polymorphs = 1.67 eV per formula unit
N(E_F) = 0.410 states/eV per atom
E_form (uncorrected) = -1.417 eV/atom
DFT total energy = -5.932 eV/atom

Unit cell a=5.5955 b=9.5721 c=15.2614 alpha=90.00 beta=90.00 gamma=90.00
Space group Fmmm (No. 69)
Asymmetric unit:
Dy (0.0000, 0.0000, 0.1812)
Pa (0.0000, 0.0000, 0.5000)
Se (0.0000, 0.0000, 0.0000)
Se (0.0000, 0.1650, 0.3459)